DFT (PBE-GGA) results for crystalline Ho5Tm3Sb8 at its relaxed geometry.

Computed properties:
As for the space group: No. 166. As for the uncorrected energy: -0.3988 Ry/atom.

a b c (Å): 8.7125 8.7125 8.7121
angles (deg): 60.00 60.00 60.00
Sites, in units of the cell vectors:
Sb 0.7500 0.2485 0.2516
Sb 0.2492 0.2492 0.2523
Sb 0.7500 0.7500 0.2516
Sb 0.7515 0.2500 0.7484
Sb 0.2500 0.2500 0.7484
Sb 0.2485 0.7500 0.2516
Sb 0.2500 0.7515 0.7484
Sb 0.7508 0.7508 0.7477
Ho 0.0000 0.5000 0.0000
Ho 0.5000 0.0000 0.0000
Ho 0.0000 0.0000 0.0000
Ho 0.5000 0.5000 0.5000
Ho 0.5000 0.5000 0.0000
Tm 0.0000 0.0000 0.5000
Tm 0.0000 0.5000 0.5000
Tm 0.5000 0.0000 0.5000

---

DFT (PBE-GGA) results for crystalline NaAcAlAg at its relaxed geometry.

Computed properties:
As for the space group: No. 216. As for the formation energy: -0.040 eV per atom.

a b c (Å): 5.2299 5.2299 5.2299
angles (deg): 60.00 60.00 60.00
Sites, in units of the cell vectors:
Ac 0.5000 0.5000 0.5000
Al 0.0000 0.0000 0.0000
Na 0.2500 0.2500 0.2500
Ag 0.7500 0.7500 0.7500

---

DFT (PBE-GGA) results for crystalline Y5HgPd4 at its relaxed geometry.

Computed properties:
As for the space group: No. 123. As for the formation energy: -0.794 eV per atom.

a b c (Å): 3.5380 3.5380 18.0720
angles (deg): 90.00 90.00 90.00
Sites, in units of the cell vectors:
Y 0.5000 0.5000 0.8861
Y 0.5000 0.5000 0.3064
Y 0.5000 0.5000 0.5000
Y 0.5000 0.5000 0.1139
Y 0.5000 0.5000 0.6936
Pd 0.0000 0.0000 0.4033
Pd 0.0000 0.0000 0.5967
Pd 0.0000 0.0000 0.7923
Pd 0.0000 0.0000 0.2077
Hg 0.0000 0.0000 0.0000

---

DFT (PBE-GGA) results for crystalline Li2Al2Zn7 at its relaxed geometry.

Computed properties:
As for the space group: No. 12. As for the formation energy: -0.036 eV per atom.

a b c (Å): 6.6667 5.2624 5.2624
angles (deg): 106.16 83.61 83.61
Sites, in units of the cell vectors:
Zn 0.8291 0.4613 0.9110
Zn 0.5375 0.7902 0.7902
Zn 0.1709 0.0890 0.5387
Zn 0.0000 0.0000 0.0000
Zn 0.1709 0.5387 0.0890
Zn 0.8291 0.9110 0.4613
Zn 0.4625 0.2098 0.2098
Li 0.5000 0.2756 0.7244
Li 0.5000 0.7244 0.2756
Al 0.8157 0.4033 0.4033
Al 0.1843 0.5967 0.5967